Entry from Alexandria via LeMat-Bulk: a geometry-optimized Be2AlHg structure (PBE). Values from VASP.

Properties
- DFT total energy: -2.252 eV per atom
- Formation energy from the elements: 0.6221 eV/atom
- SG: F-43m

Cell and atoms, written as Quantum ESPRESSO input:
```
&SYSTEM
  ibrav = 0, nat = 4, ntyp = 3
/
ATOMIC_SPECIES
Al 26.98 Al.upf
Be 9.01 Be.upf
Hg 200.59 Hg.upf
ATOMIC_POSITIONS crystal
Al 0.500 0.500 0.500
Be 0.000 0.000 0.000
Be 0.250 0.250 0.250
Hg 0.750 0.750 0.750
CELL_PARAMETERS angstrom
-2.744 3.093 -1.380
-4.237 -0.243 0.995
-1.734 2.805 2.850
```


Entry from Alexandria via LeMat-Bulk: a geometry-optimized Sn5Sb3Au12 structure (PBE). Values from VASP.

Properties
- DFT total energy: -3.520 eV per atom
- E_form (uncorrected): 0.065 eV/atom
- SG: Ia-3d

Cell and atoms, written as Quantum ESPRESSO input:
```
&SYSTEM
  ibrav = 0, nat = 80, ntyp = 3
/
ATOMIC_SPECIES
Au 196.97 Au.upf
Sn 118.71 Sn.upf
Sb 121.76 Sb.upf
ATOMIC_POSITIONS crystal
Au 0.141 0.731 0.565
Au 0.231 0.665 0.089
Au 0.935 0.359 0.269
Sn 0.375 0.250 0.125
Sb 0.125 0.875 0.750
Au 0.935 0.576 0.165
Au 0.141 0.411 0.076
Au 0.924 0.089 0.859
Au 0.165 0.076 0.935
Au 0.641 0.065 0.231
Au 0.565 0.231 0.141
Au 0.731 0.141 0.065
Sb 0.750 0.375 0.125
Sn 0.125 0.375 0.250
Au 0.859 0.269 0.435
Au 0.435 0.665 0.076
Sn 0.250 0.375 0.625
Au 0.769 0.335 0.911
Au 0.859 0.589 0.924
Sn 0.500 0.500 0.500
Au 0.835 0.924 0.065
Au 0.731 0.589 0.165
Au 0.665 0.231 0.589
Au 0.835 0.911 0.269
Au 0.424 0.359 0.589
Au 0.565 0.335 0.924
Au 0.911 0.835 0.769
Au 0.065 0.641 0.731
Sn 0.625 0.750 0.875
Au 0.076 0.165 0.435
Sn 0.250 0.875 0.125
Au 0.924 0.835 0.565
Sn 0.875 0.250 0.625
Sn 0.500 0.000 0.000
Au 0.165 0.089 0.731
Au 0.665 0.435 0.576
Sb 0.250 0.625 0.875
Au 0.589 0.731 0.665
Sn 0.375 0.125 0.750
Au 0.411 0.141 0.576
Au 0.411 0.269 0.335
Sn 0.000 0.500 0.500
Au 0.424 0.065 0.335
Au 0.231 0.565 0.641
Au 0.589 0.859 0.424
Au 0.911 0.076 0.641
Au 0.769 0.435 0.359
Au 0.269 0.859 0.935
Au 0.359 0.935 0.769
Au 0.576 0.641 0.411
Au 0.089 0.924 0.359
Sn 0.000 0.000 0.000
Au 0.335 0.769 0.411
Au 0.076 0.911 0.141
Au 0.435 0.769 0.859
Au 0.065 0.424 0.835
Au 0.335 0.565 0.424
Sn 0.750 0.625 0.375
Au 0.641 0.576 0.911
Sb 0.375 0.750 0.625
Sn 0.500 0.000 0.500
Sb 0.250 0.125 0.375
Sb 0.750 0.875 0.625
Au 0.359 0.424 0.089
Sb 0.625 0.375 0.750
Sb 0.125 0.250 0.875
Sb 0.875 0.750 0.125
Sn 0.125 0.750 0.375
Sb 0.875 0.125 0.250
Sn 0.000 0.000 0.500
Sn 0.875 0.625 0.750
Au 0.269 0.411 0.835
Sb 0.625 0.250 0.375
Au 0.576 0.935 0.665
Au 0.089 0.165 0.231
Sn 0.000 0.500 0.000
Sn 0.500 0.500 0.000
Sn 0.750 0.125 0.875
Sn 0.625 0.875 0.250
Sb 0.375 0.625 0.250
CELL_PARAMETERS angstrom
13.945 0.000 0.000
-4.648 13.147 0.000
-4.648 -6.574 11.386
```


Entry from Alexandria via LeMat-Bulk: a geometry-optimized NpGa3Au structure (PBE). Values from VASP.

Properties
- DFT total energy: -5.219 eV per atom
- Formation energy from the elements: -0.1588 eV/atom
- SG: Pnma

Cell and atoms, written as Quantum ESPRESSO input:
```
&SYSTEM
  ibrav = 0, nat = 20, ntyp = 3
/
ATOMIC_SPECIES
Ga 69.72 Ga.upf
Np 237.00 Np.upf
Au 196.97 Au.upf
ATOMIC_POSITIONS crystal
Ga 0.750 0.108 0.175
Ga 0.750 0.113 0.801
Np 0.250 0.685 0.513
Ga 0.750 0.416 0.903
Np 0.750 0.315 0.487
Ga 0.250 0.892 0.825
Np 0.250 0.185 0.987
Ga 0.750 0.916 0.597
Ga 0.750 0.608 0.325
Au 0.250 0.588 0.855
Ga 0.250 0.084 0.403
Ga 0.250 0.392 0.675
Au 0.750 0.412 0.145
Ga 0.250 0.387 0.301
Ga 0.250 0.584 0.097
Ga 0.750 0.613 0.699
Np 0.750 0.815 0.013
Au 0.250 0.088 0.645
Ga 0.250 0.887 0.199
Au 0.750 0.912 0.355
CELL_PARAMETERS angstrom
4.314 0.000 0.000
0.000 8.323 0.000
0.000 0.000 11.098
```


Entry from Alexandria via LeMat-Bulk: a geometry-optimized Sb2TePOs structure (PBE). Values from VASP.

Properties
- DFT total energy: -4.172 eV per atom
- E_form (uncorrected): 1.433 eV/atom
- SG: P4/mmm

Cell and atoms, written as Quantum ESPRESSO input:
```
&SYSTEM
  ibrav = 0, nat = 5, ntyp = 4
/
ATOMIC_SPECIES
P 30.97 P.upf
Os 190.23 Os.upf
Sb 121.76 Sb.upf
Te 127.60 Te.upf
ATOMIC_POSITIONS crystal
P 0.000 0.000 0.000
Os 0.500 0.500 0.500
Sb 0.000 0.500 0.000
Te 0.000 0.000 0.500
Sb 0.500 0.000 0.000
CELL_PARAMETERS angstrom
-3.196 -2.805 -2.444
-1.851 -1.597 4.252
-3.338 3.819 -0.019
```


Entry from Alexandria via LeMat-Bulk: a geometry-optimized AcEuAgOs structure (PBE). Values from VASP.

Properties
- DFT total energy: -7.037 eV per atom
- Formation energy from the elements: 0.0789 eV/atom
- SG: F-43m

Cell and atoms, written as Quantum ESPRESSO input:
```
&SYSTEM
  ibrav = 0, nat = 4, ntyp = 4
/
ATOMIC_SPECIES
Ac 227.00 Ac.upf
Eu 151.96 Eu.upf
Os 190.23 Os.upf
Ag 107.87 Ag.upf
ATOMIC_POSITIONS crystal
Ac 0.750 0.750 0.750
Eu 0.250 0.250 0.250
Os 0.500 0.500 0.500
Ag 0.000 0.000 0.000
CELL_PARAMETERS angstrom
-2.103 -4.644 -1.186
2.806 -4.376 0.611
-1.212 -3.374 3.813
```


Entry from Alexandria via LeMat-Bulk: a geometry-optimized RbSbPb3 structure (PBE). Values from VASP.

Properties
- DFT total energy: -2.989 eV per atom
- E_form (uncorrected): 0.254 eV/atom
- SG: Pm-3m

Cell and atoms, written as Quantum ESPRESSO input:
```
&SYSTEM
  ibrav = 0, nat = 5, ntyp = 3
/
ATOMIC_SPECIES
Pb 207.20 Pb.upf
Sb 121.76 Sb.upf
Rb 85.47 Rb.upf
ATOMIC_POSITIONS crystal
Pb 0.000 0.500 0.000
Pb 0.000 0.000 0.500
Pb 0.500 0.000 0.000
Sb 0.000 0.000 0.000
Rb 0.500 0.500 0.500
CELL_PARAMETERS angstrom
-4.661 2.031 -3.302
-0.572 -5.468 -2.556
-3.835 -1.654 4.396
```


Entry from Alexandria via LeMat-Bulk: a geometry-optimized Cs2KCrCl6 structure (PBE). Values from VASP.

Properties
- DFT total energy: -4.030 eV per atom
- E_form (uncorrected): -1.679 eV/atom
- SG: Fm-3m

Cell and atoms, written as Quantum ESPRESSO input:
```
&SYSTEM
  ibrav = 0, nat = 10, ntyp = 4
/
ATOMIC_SPECIES
Cs 132.91 Cs.upf
Cl 35.45 Cl.upf
K 39.10 K.upf
Cr 52.00 Cr.upf
ATOMIC_POSITIONS crystal
Cs 0.750 0.750 0.750
Cl 0.219 0.781 0.219
K 0.500 0.500 0.500
Cl 0.219 0.219 0.781
Cl 0.219 0.781 0.781
Cl 0.781 0.219 0.219
Cl 0.781 0.219 0.781
Cs 0.250 0.250 0.250
Cl 0.781 0.781 0.219
Cr 0.000 0.000 0.000
CELL_PARAMETERS angstrom
7.647 0.000 0.000
3.823 6.622 0.000
3.823 2.207 6.243
```


Entry from Alexandria via LeMat-Bulk: a geometry-optimized CsDyTe4 structure (PBE). Values from VASP.

Properties
- DFT total energy: -3.948 eV per atom
- E_form (uncorrected): -0.944 eV/atom
- SG: P4/nbm

Cell and atoms, written as Quantum ESPRESSO input:
```
&SYSTEM
  ibrav = 0, nat = 12, ntyp = 3
/
ATOMIC_SPECIES
Te 127.60 Te.upf
Dy 162.50 Dy.upf
Cs 132.91 Cs.upf
ATOMIC_POSITIONS crystal
Te 0.854 0.646 0.810
Dy 0.500 0.500 0.000
Te 0.646 0.854 0.190
Te 0.146 0.646 0.190
Te 0.854 0.354 0.190
Te 0.146 0.354 0.810
Te 0.354 0.146 0.190
Te 0.646 0.146 0.810
Te 0.354 0.854 0.810
Dy 0.000 0.000 0.000
Cs 0.000 0.000 0.500
Cs 0.500 0.500 0.500
CELL_PARAMETERS angstrom
6.883 0.000 0.000
0.000 6.883 0.000
0.000 0.000 9.610
```


Which value of DFT total energy does entry 1 give?
-2.252 eV per atom